Model w:
{"formula": "CuOsPt2", "functional": "PBE", "state": "relaxed", "lattice_angstrom": [[3.861, 0.000, 0.000], [0.000, 3.861, 0.000], [0.000, 0.000, 7.748]], "species": ["Cu", "Cu", "Os", "Os", "Pt", "Pt", "Pt", "Pt"], "frac_coords": [[0.000, 0.000, 0.000], [0.500, 0.500, 0.500], [0.000, 0.000, 0.500], [0.500, 0.500, 0.000], [0.000, 0.500, 0.250], [0.000, 0.500, 0.750], [0.500, 0.000, 0.250], [0.500, 0.000, 0.750]]}


Model x:
{"formula": "CuOsPt2", "functional": "PBE", "state": "relaxed", "lattice_angstrom": [[2.747, 0.000, 0.000], [-1.374, 2.379, 0.000], [0.000, 0.000, 26.612]], "species": ["Cu", "Cu", "Cu", "Os", "Os", "Os", "Pt", "Pt", "Pt", "Pt", "Pt", "Pt"], "frac_coords": [[0.000, 0.000, 0.000], [0.333, 0.667, 0.667], [0.667, 0.333, 0.333], [0.000, 0.000, 0.500], [0.333, 0.667, 0.167], [0.667, 0.333, 0.833], [0.000, 0.000, 0.252], [0.000, 0.000, 0.748], [0.333, 0.667, 0.415], [0.333, 0.667, 0.918], [0.667, 0.333, 0.082], [0.667, 0.333, 0.585]]}


Each structure's energy above the most stable one, in eV/atom: model w 0.127; model x 0.000.


Model w:
{"formula": "Cu2OsPt", "functional": "PBE", "state": "relaxed", "lattice_angstrom": [[5.469, 0.000, 0.000], [0.000, 7.567, 0.000], [0.000, 0.000, 2.638]], "species": ["Cu", "Cu", "Cu", "Cu", "Os", "Os", "Pt", "Pt"], "frac_coords": [[0.250, 0.250, 0.000], [0.250, 0.750, 0.000], [0.750, 0.250, 0.000], [0.750, 0.750, 0.000], [0.000, 0.000, 0.500], [0.500, 0.500, 0.500], [0.000, 0.500, 0.500], [0.500, 0.000, 0.500]]}


Model x:
{"formula": "Cu2OsPt", "functional": "PBE", "state": "relaxed", "lattice_angstrom": [[2.733, 0.000, 0.000], [0.000, 4.470, 0.000], [0.000, 0.000, 8.891]], "species": ["Cu", "Cu", "Cu", "Cu", "Os", "Os", "Pt", "Pt"], "frac_coords": [[0.000, 0.000, 0.000], [0.000, 0.500, 0.266], [0.500, 0.000, 0.766], [0.500, 0.500, 0.500], [0.000, 0.500, 0.753], [0.500, 0.000, 0.253], [0.000, 0.000, 0.511], [0.500, 0.500, 0.011]]}


Each structure's energy above the most stable one, in eV/atom: model w 0.000; model x 0.015.


Model w:
{"formula": "Cu2OsPt", "functional": "PBE", "state": "relaxed", "lattice_angstrom": [[2.662, 0.000, 0.000], [0.000, 4.512, 0.000], [0.000, 0.000, 4.660]], "species": ["Cu", "Cu", "Os", "Pt"], "frac_coords": [[0.000, 0.000, 0.000], [0.500, 0.000, 0.500], [0.000, 0.500, 0.500], [0.500, 0.500, 0.000]]}


Model x:
{"formula": "Cu2OsPt", "functional": "PBE", "state": "relaxed", "lattice_angstrom": [[2.738, 0.000, 0.000], [0.000, 2.738, 0.000], [0.000, 0.000, 7.248]], "species": ["Cu", "Cu", "Os", "Pt"], "frac_coords": [[0.000, 0.000, 0.000], [0.500, 0.500, 0.228], [0.000, 0.000, 0.478], [0.500, 0.500, 0.739]]}


Each structure's energy above the most stable one, in eV/atom: model w 0.105; model x 0.000.


Model w:
{"formula": "Cu2OsPt", "functional": "PBE", "state": "relaxed", "lattice_angstrom": [[2.664, 0.000, 0.000], [0.000, 4.678, 0.000], [0.000, 0.000, 9.017]], "species": ["Cu", "Cu", "Cu", "Cu", "Os", "Os", "Pt", "Pt"], "frac_coords": [[0.000, 0.000, 0.248], [0.000, 0.000, 0.752], [0.500, 0.500, 0.252], [0.500, 0.500, 0.748], [0.000, 0.500, 0.500], [0.500, 0.000, 0.000], [0.000, 0.500, 0.000], [0.500, 0.000, 0.500]]}


Model x:
{"formula": "Cu2OsPt", "functional": "PBE", "state": "relaxed", "lattice_angstrom": [[6.070, 0.000, 0.000], [0.000, 6.070, 0.000], [0.000, 0.000, 6.070]], "species": ["Cu", "Cu", "Cu", "Cu", "Cu", "Cu", "Cu", "Cu", "Os", "Os", "Os", "Os", "Pt", "Pt", "Pt", "Pt"], "frac_coords": [[0.000, 0.000, 0.000], [0.000, 0.500, 0.500], [0.250, 0.250, 0.250], [0.250, 0.750, 0.750], [0.500, 0.000, 0.500], [0.500, 0.500, 0.000], [0.750, 0.250, 0.750], [0.750, 0.750, 0.250], [0.250, 0.250, 0.750], [0.250, 0.750, 0.250], [0.750, 0.250, 0.250], [0.750, 0.750, 0.750], [0.000, 0.000, 0.500], [0.000, 0.500, 0.000], [0.500, 0.000, 0.000], [0.500, 0.500, 0.500]]}


Each structure's energy above the most stable one, in eV/atom: model w 0.000; model x 0.129.


Model w:
{"formula": "Cu2OsPt", "functional": "PBE", "state": "relaxed", "lattice_angstrom": [[2.683, 0.000, 0.000], [0.000, 2.683, 0.000], [0.000, 0.000, 7.571]], "species": ["Cu", "Cu", "Os", "Pt"], "frac_coords": [[0.000, 0.000, 0.247], [0.000, 0.000, 0.753], [0.500, 0.500, 0.000], [0.500, 0.500, 0.500]]}


Model x:
{"formula": "Cu2OsPt", "functional": "PBE", "state": "relaxed", "lattice_angstrom": [[2.669, 0.000, 0.000], [0.000, 3.881, 0.000], [-0.032, 0.000, 5.307]], "species": ["Cu", "Cu", "Os", "Pt"], "frac_coords": [[0.000, 0.000, 0.000], [0.497, 0.500, 0.228], [0.998, 0.000, 0.489], [0.501, 0.500, 0.728]]}


Model y:
{"formula": "Cu2OsPt", "functional": "PBE", "state": "relaxed", "lattice_angstrom": [[2.703, 0.000, 0.000], [-1.351, 2.341, 0.000], [0.000, 0.000, 25.975]], "species": ["Cu", "Cu", "Cu", "Cu", "Cu", "Cu", "Os", "Os", "Os", "Pt", "Pt", "Pt"], "frac_coords": [[0.000, 0.000, 0.000], [0.000, 0.000, 0.256], [0.333, 0.667, 0.667], [0.333, 0.667, 0.923], [0.667, 0.333, 0.333], [0.667, 0.333, 0.589], [0.000, 0.000, 0.749], [0.333, 0.667, 0.416], [0.667, 0.333, 0.082], [0.000, 0.000, 0.505], [0.333, 0.667, 0.171], [0.667, 0.333, 0.838]]}


Each structure's energy above the most stable one, in eV/atom: model w 0.115; model x 0.071; model y 0.000.


Model w:
{"formula": "Cu2OsPt", "functional": "PBE", "state": "relaxed", "lattice_angstrom": [[3.803, 0.000, 0.000], [0.000, 3.803, 0.000], [0.000, 0.000, 7.522]], "species": ["Cu", "Cu", "Cu", "Cu", "Os", "Os", "Pt", "Pt"], "frac_coords": [[0.000, 0.000, 0.000], [0.000, 0.500, 0.250], [0.500, 0.000, 0.750], [0.500, 0.500, 0.500], [0.000, 0.500, 0.750], [0.500, 0.000, 0.250], [0.000, 0.000, 0.500], [0.500, 0.500, 0.000]]}


Model x:
{"formula": "Cu2OsPt", "functional": "PBE", "state": "relaxed", "lattice_angstrom": [[8.781, 0.000, 0.000], [0.000, 2.650, 0.000], [-0.758, 0.000, 4.710]], "species": ["Cu", "Cu", "Cu", "Cu", "Os", "Os", "Pt", "Pt"], "frac_coords": [[0.248, 0.000, 0.242], [0.252, 0.500, 0.758], [0.748, 0.500, 0.242], [0.752, 0.000, 0.758], [0.000, 0.500, 0.000], [0.500, 0.000, 0.000], [0.000, 0.000, 0.500], [0.500, 0.500, 0.500]]}


Each structure's energy above the most stable one, in eV/atom: model w 0.129; model x 0.000.


Model w:
{"formula": "Cu3OsPt", "functional": "PBE", "state": "relaxed", "lattice_angstrom": [[4.588, 0.000, 0.000], [0.000, 4.588, 0.000], [0.000, 0.000, 4.588]], "species": ["Cu", "Cu", "Cu", "Os", "Pt"], "frac_coords": [[0.000, 0.000, 0.500], [0.000, 0.500, 0.000], [0.500, 0.000, 0.000], [0.500, 0.500, 0.500], [0.000, 0.000, 0.000]]}


Model x:
{"formula": "Cu3OsPt", "functional": "PBE", "state": "relaxed", "lattice_angstrom": [[4.560, 0.000, 0.000], [0.000, 4.560, 0.000], [0.000, 0.000, 4.560]], "species": ["Cu", "Cu", "Cu", "Os", "Pt"], "frac_coords": [[0.000, 0.000, 0.500], [0.000, 0.500, 0.000], [0.500, 0.000, 0.000], [0.000, 0.000, 0.000], [0.500, 0.500, 0.500]]}


Each structure's energy above the most stable one, in eV/atom: model w 0.080; model x 0.000.


Model w:
{"formula": "PuCuOs", "functional": "PBE", "state": "relaxed", "lattice_angstrom": [[4.829, 0.000, 0.000], [0.000, 5.436, 0.000], [0.000, 0.000, 7.784]], "species": ["Pu", "Pu", "Pu", "Pu", "Cu", "Cu", "Cu", "Cu", "Os", "Os", "Os", "Os"], "frac_coords": [[0.000, 0.250, 0.129], [0.000, 0.750, 0.871], [0.500, 0.250, 0.371], [0.500, 0.750, 0.629], [0.250, 0.250, 0.750], [0.250, 0.750, 0.250], [0.750, 0.250, 0.750], [0.750, 0.750, 0.250], [0.000, 0.000, 0.500], [0.000, 0.500, 0.500], [0.500, 0.000, 0.000], [0.500, 0.500, 0.000]]}


Model x:
{"formula": "PuCuOs", "functional": "PBE", "state": "relaxed", "lattice_angstrom": [[3.261, 0.000, 0.000], [0.000, 3.261, 0.000], [0.000, 0.000, 9.951]], "species": ["Pu", "Pu", "Cu", "Cu", "Os", "Os"], "frac_coords": [[0.000, 0.000, 0.000], [0.500, 0.500, 0.500], [0.000, 0.000, 0.703], [0.500, 0.500, 0.203], [0.000, 0.000, 0.324], [0.500, 0.500, 0.824]]}


Model y:
{"formula": "PuCuOs", "functional": "PBE", "state": "relaxed", "lattice_angstrom": [[4.352, 0.000, 0.000], [-2.176, 3.769, 0.000], [0.000, 0.000, 3.289]], "species": ["Pu", "Cu", "Os"], "frac_coords": [[0.000, 0.000, 0.000], [0.333, 0.667, 0.500], [0.667, 0.333, 0.500]]}


Each structure's energy above the most stable one, in eV/atom: model w 0.000; model x 0.330; model y 0.264.


Model w:
{"formula": "RbCu3Os", "functional": "PBE", "state": "relaxed", "lattice_angstrom": [[4.732, 0.000, 0.000], [0.000, 4.732, 0.000], [0.000, 0.000, 4.732]], "species": ["Rb", "Cu", "Cu", "Cu", "Os"], "frac_coords": [[0.000, 0.000, 0.000], [0.000, 0.000, 0.500], [0.000, 0.500, 0.000], [0.500, 0.000, 0.000], [0.500, 0.500, 0.500]]}


Model x:
{"formula": "RbCu3Os", "functional": "PBE", "state": "relaxed", "lattice_angstrom": [[4.859, 0.000, 0.000], [0.000, 4.859, 0.000], [0.000, 0.000, 4.859]], "species": ["Rb", "Cu", "Cu", "Cu", "Os"], "frac_coords": [[0.000, 0.000, 0.000], [0.000, 0.500, 0.500], [0.500, 0.000, 0.500], [0.500, 0.500, 0.000], [0.500, 0.500, 0.500]]}


Each structure's energy above the most stable one, in eV/atom: model w 1.681; model x 0.000.


Model w:
{"formula": "RbCuOs2", "functional": "PBE", "state": "relaxed", "lattice_angstrom": [[4.650, 0.000, 0.000], [0.000, 4.650, 0.000], [0.000, 0.000, 18.344]], "species": ["Rb", "Rb", "Rb", "Rb", "Cu", "Cu", "Cu", "Cu", "Os", "Os", "Os", "Os", "Os", "Os", "Os", "Os"], "frac_coords": [[0.000, 0.000, 0.000], [0.000, 0.500, 0.250], [0.500, 0.000, 0.750], [0.500, 0.500, 0.500], [0.000, 0.000, 0.500], [0.000, 0.500, 0.750], [0.500, 0.000, 0.250], [0.500, 0.500, 0.000], [0.055, 0.750, 0.625], [0.250, 0.055, 0.375], [0.250, 0.445, 0.875], [0.445, 0.750, 0.125], [0.555, 0.250, 0.125], [0.750, 0.555, 0.875], [0.750, 0.945, 0.375], [0.945, 0.250, 0.625]]}


Model x:
{"formula": "RbCuOs2", "functional": "PBE", "state": "relaxed", "lattice_angstrom": [[6.531, 0.000, 0.000], [0.000, 6.531, 0.000], [0.000, 0.000, 6.531]], "species": ["Rb", "Rb", "Rb", "Rb", "Cu", "Cu", "Cu", "Cu", "Os", "Os", "Os", "Os", "Os", "Os", "Os", "Os"], "frac_coords": [[0.000, 0.000, 0.000], [0.000, 0.500, 0.500], [0.500, 0.000, 0.500], [0.500, 0.500, 0.000], [0.000, 0.000, 0.500], [0.000, 0.500, 0.000], [0.500, 0.000, 0.000], [0.500, 0.500, 0.500], [0.250, 0.250, 0.250], [0.250, 0.250, 0.750], [0.250, 0.750, 0.250], [0.250, 0.750, 0.750], [0.750, 0.250, 0.250], [0.750, 0.250, 0.750], [0.750, 0.750, 0.250], [0.750, 0.750, 0.750]]}


Each structure's energy above the most stable one, in eV/atom: model w 0.000; model x 0.792.


Model w:
{"formula": "RbCu2Os", "functional": "PBE", "state": "relaxed", "lattice_angstrom": [[6.734, 0.000, 0.000], [0.000, 6.734, 0.000], [0.000, 0.000, 6.734]], "species": ["Rb", "Rb", "Rb", "Rb", "Cu", "Cu", "Cu", "Cu", "Cu", "Cu", "Cu", "Cu", "Os", "Os", "Os", "Os"], "frac_coords": [[0.000, 0.000, 0.000], [0.000, 0.500, 0.500], [0.500, 0.000, 0.500], [0.500, 0.500, 0.000], [0.250, 0.250, 0.250], [0.250, 0.250, 0.750], [0.250, 0.750, 0.250], [0.250, 0.750, 0.750], [0.750, 0.250, 0.250], [0.750, 0.250, 0.750], [0.750, 0.750, 0.250], [0.750, 0.750, 0.750], [0.000, 0.000, 0.500], [0.000, 0.500, 0.000], [0.500, 0.000, 0.000], [0.500, 0.500, 0.500]]}


Model x:
{"formula": "RbCu2Os", "functional": "PBE", "state": "relaxed", "lattice_angstrom": [[5.173, 0.000, 0.000], [0.000, 5.173, 0.000], [0.000, 0.000, 16.380]], "species": ["Rb", "Rb", "Rb", "Rb", "Cu", "Cu", "Cu", "Cu", "Cu", "Cu", "Cu", "Cu", "Os", "Os", "Os", "Os"], "frac_coords": [[0.000, 0.250, 0.375], [0.000, 0.750, 0.625], [0.500, 0.250, 0.125], [0.500, 0.750, 0.875], [0.000, 0.000, 0.000], [0.000, 0.500, 0.000], [0.250, 0.250, 0.750], [0.250, 0.750, 0.250], [0.500, 0.000, 0.500], [0.500, 0.500, 0.500], [0.750, 0.250, 0.750], [0.750, 0.750, 0.250], [0.000, 0.250, 0.875], [0.000, 0.750, 0.125], [0.500, 0.250, 0.625], [0.500, 0.750, 0.375]]}


Each structure's energy above the most stable one, in eV/atom: model w 0.350; model x 0.000.


Model w:
{"formula": "CuReOs3", "functional": "PBE", "state": "relaxed", "lattice_angstrom": [[4.346, 0.000, 0.000], [0.000, 4.346, 0.000], [0.000, 0.000, 4.346]], "species": ["Cu", "Re", "Os", "Os", "Os"], "frac_coords": [[0.000, 0.000, 0.000], [0.500, 0.500, 0.500], [0.000, 0.000, 0.500], [0.000, 0.500, 0.000], [0.500, 0.000, 0.000]]}


Model x:
{"formula": "CuReOs3", "functional": "PBE", "state": "relaxed", "lattice_angstrom": [[4.704, 0.000, 0.000], [0.000, 4.704, 0.000], [0.000, 0.000, 4.704]], "species": ["Cu", "Re", "Os", "Os", "Os"], "frac_coords": [[0.000, 0.000, 0.000], [0.500, 0.500, 0.500], [0.000, 0.500, 0.500], [0.500, 0.000, 0.500], [0.500, 0.500, 0.000]]}


Each structure's energy above the most stable one, in eV/atom: model w 0.000; model x 0.252.


Model w:
{"formula": "Cu2ReOs", "functional": "PBE", "state": "relaxed", "lattice_angstrom": [[2.753, 0.000, 0.000], [0.000, 4.464, 0.000], [0.000, 0.000, 9.004]], "species": ["Cu", "Cu", "Cu", "Cu", "Re", "Re", "Os", "Os"], "frac_coords": [[0.000, 0.000, 0.249], [0.000, 0.000, 0.751], [0.500, 0.500, 0.251], [0.500, 0.500, 0.749], [0.000, 0.500, 0.000], [0.500, 0.000, 0.500], [0.000, 0.500, 0.500], [0.500, 0.000, 0.000]]}


Model x:
{"formula": "Cu2ReOs", "functional": "PBE", "state": "relaxed", "lattice_angstrom": [[3.806, 0.000, 0.000], [0.000, 3.806, 0.000], [0.000, 0.000, 7.366]], "species": ["Cu", "Cu", "Cu", "Cu", "Re", "Re", "Os", "Os"], "frac_coords": [[0.000, 0.000, 0.000], [0.000, 0.500, 0.250], [0.500, 0.000, 0.750], [0.500, 0.500, 0.500], [0.000, 0.500, 0.750], [0.500, 0.000, 0.250], [0.000, 0.000, 0.500], [0.500, 0.500, 0.000]]}


Each structure's energy above the most stable one, in eV/atom: model w 0.166; model x 0.000.


Model w:
{"formula": "Cu2ReOs", "functional": "PBE", "state": "relaxed", "lattice_angstrom": [[2.792, 0.000, 0.000], [0.000, 2.792, 0.000], [0.000, 0.000, 6.956]], "species": ["Cu", "Cu", "Re", "Os"], "frac_coords": [[0.000, 0.000, 0.000], [0.500, 0.500, 0.222], [0.500, 0.500, 0.732], [0.000, 0.000, 0.485]]}


Model x:
{"formula": "Cu2ReOs", "functional": "PBE", "state": "relaxed", "lattice_angstrom": [[5.945, 0.000, 0.000], [0.000, 5.945, 0.000], [0.000, 0.000, 5.945]], "species": ["Cu", "Cu", "Cu", "Cu", "Cu", "Cu", "Cu", "Cu", "Re", "Re", "Re", "Re", "Os", "Os", "Os", "Os"], "frac_coords": [[0.250, 0.250, 0.250], [0.250, 0.250, 0.750], [0.250, 0.750, 0.250], [0.250, 0.750, 0.750], [0.750, 0.250, 0.250], [0.750, 0.250, 0.750], [0.750, 0.750, 0.250], [0.750, 0.750, 0.750], [0.000, 0.000, 0.000], [0.000, 0.500, 0.500], [0.500, 0.000, 0.500], [0.500, 0.500, 0.000], [0.000, 0.000, 0.500], [0.000, 0.500, 0.000], [0.500, 0.000, 0.000], [0.500, 0.500, 0.500]]}


Each structure's energy above the most stable one, in eV/atom: model w 0.000; model x 0.344.